Arrangement A

NaSrCa2Ga: optimized geometry, PBE.

The value obtained for the density of states at the Fermi level is 0.88 states/eV/atom. The volume is 40.918 Å³ per atom. For the total magnetization, the calculation gives 0.0 μB/cell.

The structure belongs to space group P4/mmm (No. 123); the cell edges are 5.907, 5.907 and 5.863 Å and the angles 90.00°, 90.00° and 90.00°. The asymmetric unit holds Na at (0.000, 0.000, 0.000), Sr at (0.500, 0.500, 0.000), Ca at (0.000, 0.500, 0.500) and Ga at (0.000, 0.000, 0.500).



Arrangement B

NaSrCa2Ga: optimized geometry, PBE.

The value obtained for the density of states at the Fermi level is 0.79 states/eV/atom. The volume is 43.344 Å³ per atom. For the total magnetization, the calculation gives 0.0 μB/cell.

The structure belongs to space group P4/mmm (No. 123); the cell edges are 5.896, 5.896 and 6.235 Å and the angles 90.00°, 90.00° and 90.00°. The asymmetric unit holds Na at (0.000, 0.000, 0.000), Sr at (0.500, 0.500, 0.000), Ca at (0.000, 0.500, 0.500) and Ga at (0.500, 0.500, 0.500).



Arrangement C

NaSrCa2Ga: optimized geometry, PBE.

The value obtained for the density of states at the Fermi level is 1.68 states/eV/atom. The volume is 55.856 Å³ per atom. For the total magnetization, the calculation gives 0.8 μB/cell.

The structure belongs to space group P4/mmm (No. 123); the cell edges are 6.763, 6.763 and 6.107 Å and the angles 90.00°, 90.00° and 90.00°. The asymmetric unit holds Na at (0.000, 0.000, 0.000), Sr at (0.000, 0.000, 0.500), Ca at (0.000, 0.500, 0.500) and Ga at (0.500, 0.500, 0.000).



Most stable structure: arrangement B



Arrangement A

Ca3NbGa: optimized geometry, PBE.

The value obtained for the density of states at the Fermi level is 0.72 states/eV/atom. The volume is 35.981 Å³ per atom. For the total magnetization, the calculation gives 4.0 μB/cell.

The structure belongs to space group Pm-3m (No. 221); the cell edges are 5.645, 5.645 and 5.645 Å and the angles 90.00°, 90.00° and 90.00°. The asymmetric unit holds Ca at (0.000, 0.000, 0.500), Nb at (0.500, 0.500, 0.500) and Ga at (0.000, 0.000, 0.000).



Arrangement B

Ca3NbGa: optimized geometry, PBE.

The value obtained for the density of states at the Fermi level is 0.72 states/eV/atom. The volume is 34.370 Å³ per atom. For the total magnetization, the calculation gives 0.0 μB/cell.

The structure belongs to space group Pm-3m (No. 221); the cell edges are 5.560, 5.560 and 5.560 Å and the angles 90.00°, 90.00° and 90.00°. The asymmetric unit holds Ca at (0.000, 0.000, 0.500), Nb at (0.000, 0.000, 0.000) and Ga at (0.500, 0.500, 0.500).



Most stable structure: arrangement A



Arrangement A

CaNdGa4: optimized geometry, PBE.

The value obtained for the density of states at the Fermi level is 0.56 states/eV/atom. The volume is 20.965 Å³ per atom. For the total magnetization, the calculation gives 0.0 μB/cell.

The structure belongs to space group F-43m (No. 216); the cell edges are 7.954, 7.954 and 7.954 Å and the angles 90.00°, 90.00° and 90.00°. The asymmetric unit holds Ca at (0.000, 0.000, 0.000), Nd at (0.250, 0.250, 0.750) and Ga at (0.125, 0.125, 0.375).



Arrangement B

CaNdGa4: optimized geometry, PBE.

The value obtained for the density of states at the Fermi level is 0.62 states/eV/atom. The volume is 22.894 Å³ per atom. For the total magnetization, the calculation gives 0.0 μB/cell.

The structure belongs to space group I-4m2 (No. 119); the cell edges are 4.270, 4.270 and 15.070 Å and the angles 90.00°, 90.00° and 90.00°. The asymmetric unit holds Ca at (0.000, 0.000, 0.000), Nd at (0.000, 0.500, 0.250), Ga at (0.000, 0.000, 0.417) and Ga at (0.000, 0.500, 0.668).



Most stable structure: arrangement B



Arrangement A

CaNdGaO4: optimized geometry, PBE.

The value obtained for the density of states at the Fermi level is 0.00 states/eV/atom. The volume is 12.913 Å³ per atom. For the total magnetization, the calculation gives 0.0 μB/cell.

The structure belongs to space group Cmc2_1 (No. 36); the cell edges are 5.388, 12.065 and 5.562 Å and the angles 90.00°, 90.00° and 90.00°. The asymmetric unit holds Ca at (0.000, 0.103, 0.000), Nd at (0.000, 0.390, 0.033), Ga at (0.000, 0.246, 0.518), O at (0.000, 0.081, 0.577), O at (0.000, 0.423, 0.456) and O at (0.248, 0.230, 0.264).



Arrangement B

CaNdGaO4: optimized geometry, PBE.

The volume is 14.575 Å³ per atom. For the total magnetization, the calculation gives 0.0 μB/cell.

The structure belongs to space group Imma (No. 74); the cell edges are 6.462, 6.780 and 9.314 Å and the angles 90.00°, 90.00° and 90.00°. The asymmetric unit holds Ca at (0.250, 0.250, 0.250), Nd at (0.000, 0.000, 0.000), Ga at (0.000, 0.250, 0.629), O at (0.000, 0.012, 0.745) and O at (0.242, 0.250, 0.504).



Most stable structure: arrangement A